Record 1
{"formula": "Cs2HoLuS4", "functional": "PBE-GGA", "state": "relaxed", "cell": [[4.052, 0.000, 0.000], [-2.026, 3.509, 0.000], [0.000, 0.000, 16.059]], "species": ["Cs", "Cs", "Ho", "Lu", "S", "S", "S", "S"], "frac_coords": [[0.333, 0.667, 0.251], [0.667, 0.333, 0.749], [0.000, 0.000, 0.000], [0.000, 0.000, 0.500], [0.333, 0.667, 0.589], [0.333, 0.667, 0.908], [0.667, 0.333, 0.092], [0.667, 0.333, 0.411]], "crystal_system": "trigonal", "total_energy_ev_per_cell": -41.91, "sg": "P-3m1 (164)"}



Record 2
{"formula": "CsHoMg", "functional": "PBE-GGA", "state": "relaxed", "cell": [[0.000, 4.183, 4.183], [4.183, 0.000, 4.183], [4.183, 4.183, 0.000]], "species": ["Cs", "Ho", "Mg"], "frac_coords": [[0.000, 0.000, 0.000], [0.500, 0.500, 0.500], [0.250, 0.250, 0.250]], "crystal_system": "cubic", "total_energy_ev_per_cell": -4.46, "sg": "F-43m (216)"}



Please write out number 1 again, unchanged.
{"formula": "Cs2HoLuS4", "functional": "PBE-GGA", "state": "relaxed", "cell": [[4.052, 0.000, 0.000], [-2.026, 3.509, 0.000], [0.000, 0.000, 16.059]], "species": ["Cs", "Cs", "Ho", "Lu", "S", "S", "S", "S"], "frac_coords": [[0.333, 0.667, 0.251], [0.667, 0.333, 0.749], [0.000, 0.000, 0.000], [0.000, 0.000, 0.500], [0.333, 0.667, 0.589], [0.333, 0.667, 0.908], [0.667, 0.333, 0.092], [0.667, 0.333, 0.411]], "crystal_system": "trigonal", "total_energy_ev_per_cell": -41.91, "sg": "P-3m1 (164)"}



Please write out number 2 again, unchanged.
{"formula": "CsHoMg", "functional": "PBE-GGA", "state": "relaxed", "cell": [[0.000, 4.183, 4.183], [4.183, 0.000, 4.183], [4.183, 4.183, 0.000]], "species": ["Cs", "Ho", "Mg"], "frac_coords": [[0.000, 0.000, 0.000], [0.500, 0.500, 0.500], [0.250, 0.250, 0.250]], "crystal_system": "cubic", "total_energy_ev_per_cell": -4.46, "sg": "F-43m (216)"}